# 1
YNb3Re | the Alexandria database | GGA-PBE | optimized geometry; ΔH_f (0 K) = 2.5117 eV per atom; energy = -7.313 eV/atom; space group = Pm-3m; energy relative to the lowest polymorph listed for this composition = 40.40 kcal/mol of atoms
1.0
4.7856 0.0000 0.0000
0.0000 4.7856 0.0000
0.0000 0.0000 4.7856
Y Nb Re
1 3 1
Direct
0.0000 0.0000 0.0000
0.0000 0.0000 0.5000
0.0000 0.5000 0.0000
0.5000 0.0000 0.0000
0.5000 0.5000 0.5000

=====

# 2
Y2NbRe2 | the Alexandria database | GGA-PBE | optimized geometry; ΔH_f (0 K) = 0.8700 eV per atom; energy = -8.709 eV/atom; space group = P4/mbm; energy relative to the lowest polymorph listed for this composition = 17.25 kcal/mol of atoms
1.0
8.6183 0.0000 0.0000
0.0000 8.6183 0.0000
0.0000 0.0000 2.8091
Y Nb Re
4 2 4
Direct
0.1276 0.3724 0.0000
0.3724 0.8724 0.0000
0.6276 0.1276 0.0000
0.8724 0.6276 0.0000
0.0000 0.0000 0.0000
0.5000 0.5000 0.0000
0.1773 0.6773 0.5000
0.3227 0.1773 0.5000
0.6773 0.8227 0.5000
0.8227 0.3227 0.5000